# 1
Dy2Y2CIBr4, optimized geometry, DFT GGA-PBE; total magnetic moment = 0.32 μB per formula unit; uncorrected energy = -5.33 eV per atom
1.0
-3.123 7.027 4.904
-6.356 5.023 4.189
2.199 -5.671 5.955
Y C Br I Dy
2 1 4 1 2
direct
0.001 0.001 0.809
0.999 0.999 0.191
0.500 0.500 0.000
0.170 0.170 0.840
0.165 0.165 0.324
0.835 0.835 0.676
0.830 0.830 0.160
0.500 0.500 0.500
0.638 0.638 0.070
0.362 0.362 0.930


# 2
Dy2Y2CIBr4, optimized geometry, DFT GGA-PBE; total magnetic moment = 0.34 μB per formula unit; uncorrected energy = -5.33 eV per atom
1.0
-6.883 4.251 4.136
-5.453 2.057 6.971
6.459 5.414 0.930
Br Y Dy I C
4 2 2 1 1
direct
0.166 0.166 0.328
0.834 0.834 0.672
0.830 0.830 0.163
0.170 0.170 0.837
0.361 0.361 0.929
0.639 0.639 0.071
0.000 0.000 0.191
0.000 0.000 0.809
0.500 0.500 0.500
0.500 0.500 0.000


What is the total magnetic moment in the first record? 0.32 μB per formula unit